Mn2BeSi, relaxed, DFT PBE-GGA; volume = 43.4 Å³/f.u.; formation energy (no corrections) = -279 meV/atom; crystal system = tetragonal
1.0
3.6418 0.0000 0.0000
0.0000 3.6418 0.0000
0.0000 0.0000 6.5393
Mn Be Si
4 2 2
Direct
0.0000 0.5000 0.2500 Mn
0.0000 0.5000 0.7500 Mn
0.5000 0.0000 0.2500 Mn
0.5000 0.0000 0.7500 Mn
0.0000 0.0000 0.0000 Be
0.5000 0.5000 0.5000 Be
0.0000 0.0000 0.5000 Si
0.5000 0.5000 0.0000 Si

=====

Mn2BeSi, relaxed, DFT PBE-GGA; volume = 46.8 Å³/f.u.; formation energy (no corrections) = 284 meV/atom; crystal system = tetragonal
1.0
3.4060 0.0000 0.0000
0.0000 3.4060 0.0000
0.0000 0.0000 16.1286
Mn Be Si
8 4 4
Direct
0.1828 0.2500 0.1250 Mn
0.2500 0.6828 0.3750 Mn
0.2500 0.8172 0.8750 Mn
0.3172 0.2500 0.6250 Mn
0.6828 0.7500 0.6250 Mn
0.7500 0.1828 0.8750 Mn
0.7500 0.3172 0.3750 Mn
0.8172 0.7500 0.1250 Mn
0.0000 0.0000 0.0000 Be
0.0000 0.5000 0.2500 Be
0.5000 0.0000 0.7500 Be
0.5000 0.5000 0.5000 Be
0.0000 0.0000 0.5000 Si
0.0000 0.5000 0.7500 Si
0.5000 0.0000 0.2500 Si
0.5000 0.5000 0.0000 Si

=====

Mn2BeSi, relaxed, DFT PBE-GGA; volume = 43.5 Å³/f.u.; formation energy (no corrections) = -223 meV/atom; crystal system = orthorhombic
1.0
2.5894 0.0000 0.0000
0.0000 3.2784 0.0000
0.0000 0.0000 5.1209
Mn Be Si
2 1 1
Direct
0.0000 0.0000 0.2452 Mn
0.0000 0.0000 0.7548 Mn
0.5000 0.5000 0.0000 Be
0.5000 0.5000 0.5000 Si

=====

MnBe2Si, relaxed, DFT PBE-GGA; volume = 39.1 Å³/f.u.; formation energy (no corrections) = -213 meV/atom; crystal system = tetragonal
1.0
3.2798 0.0000 0.0000
0.0000 3.2798 0.0000
0.0000 0.0000 7.2764
Mn Be Si
2 4 2
Direct
0.0000 0.0000 0.0000 Mn
0.5000 0.5000 0.5000 Mn
0.0000 0.5000 0.2500 Be
0.0000 0.5000 0.7500 Be
0.5000 0.0000 0.2500 Be
0.5000 0.0000 0.7500 Be
0.0000 0.0000 0.5000 Si
0.5000 0.5000 0.0000 Si

=====

MnBeSi3, relaxed, DFT PBE-GGA; volume = 84.3 Å³/f.u.; distance to the lowest polymorph of the same formula = 0.0 meV/atom; formation energy (no corrections) = 685 meV/atom; crystal system = cubic
1.0
4.3848 0.0000 0.0000
0.0000 4.3848 0.0000
0.0000 0.0000 4.3848
Mn Be Si
1 1 3
Direct
0.0000 0.0000 0.0000 Mn
0.5000 0.5000 0.5000 Be
0.0000 0.0000 0.5000 Si
0.0000 0.5000 0.0000 Si
0.5000 0.0000 0.0000 Si

=====

Mn2Be7Si2, relaxed, DFT PBE-GGA; volume = 111.7 Å³/f.u.; formation energy (no corrections) = 56 meV/atom; crystal system = monoclinic
1.0
4.7666 -3.6200 0.0000
4.7666 3.6200 0.0000
-1.2623 0.0000 3.2367
Mn Be Si
2 7 2
Direct
0.2070 0.7930 0.0000 Mn
0.7930 0.2070 0.0000 Mn
0.0000 0.0000 0.5000 Be
0.0578 0.5895 0.3241 Be
0.3807 0.3807 0.8778 Be
0.4105 0.9422 0.6759 Be
0.5895 0.0578 0.3241 Be
0.6193 0.6193 0.1222 Be
0.9422 0.4105 0.6759 Be
0.1967 0.1967 0.1970 Si
0.8033 0.8033 0.8030 Si

=====

Mn2Be2Si, relaxed, DFT PBE-GGA; volume = 53.4 Å³/f.u.; distance to the lowest polymorph of the same formula = 289.4 meV/atom; formation energy (no corrections) = 7 meV/atom; crystal system = tetragonal
1.0
5.8650 0.0000 0.0000
0.0000 5.8650 0.0000
0.0000 0.0000 3.1045
Mn Be Si
4 4 2
Direct
0.1442 0.3558 0.0000 Mn
0.3558 0.8558 0.0000 Mn
0.6442 0.1442 0.0000 Mn
0.8558 0.6442 0.0000 Mn
0.1505 0.6505 0.5000 Be
0.3495 0.1505 0.5000 Be
0.6505 0.8495 0.5000 Be
0.8495 0.3495 0.5000 Be
0.0000 0.0000 0.0000 Si
0.5000 0.5000 0.0000 Si

=====

MnBe2Si, relaxed, DFT PBE-GGA; volume = 40.0 Å³/f.u.; formation energy (no corrections) = -204 meV/atom; crystal system = tetragonal
1.0
3.4267 0.0000 0.0000
0.0000 3.4267 0.0000
0.0000 0.0000 3.4093
Mn Be Si
1 2 1
Direct
0.0000 0.0000 0.0000 Mn
0.0000 0.5000 0.5000 Be
0.5000 0.0000 0.5000 Be
0.5000 0.5000 0.0000 Si

=====

Copy entry 5 word for word.
MnBeSi3, relaxed, DFT PBE-GGA; volume = 84.3 Å³/f.u.; distance to the lowest polymorph of the same formula = 0.0 meV/atom; formation energy (no corrections) = 685 meV/atom; crystal system = cubic
1.0
4.3848 0.0000 0.0000
0.0000 4.3848 0.0000
0.0000 0.0000 4.3848
Mn Be Si
1 1 3
Direct
0.0000 0.0000 0.0000 Mn
0.5000 0.5000 0.5000 Be
0.0000 0.0000 0.5000 Si
0.0000 0.5000 0.0000 Si
0.5000 0.0000 0.0000 Si

=====

The highest formation energy (no corrections) belongs to which entry? MnBeSi3